(1)
This record from Alexandria via LeMat-Bulk describes a relaxed CaDyIn crystal. The functional is GGA-PBE.

## Properties
ρ = 5.62 g/cm3
Space-group type = I4/mmm, No. 139
Uncorrected energy = -20.212 eV per cell
Excess energy over the best structure of this formula in the dataset = 2.830 kcal/mol of atoms

a = 3.5217 Å, b = 3.5217 Å, c = 15.3314 Å
α = 96.60°, β = 96.60°, γ = 90.00°
Fractional positions:
In  0.1348  0.1348  0.2696
In  0.8652  0.8652  0.7304
Dy  0.7071  0.7071  0.4142
Dy  0.2929  0.2929  0.5858
Ca  0.5616  0.5616  0.1232
Ca  0.4384  0.4384  0.8768

=====

(2)
This record from Alexandria via LeMat-Bulk describes a relaxed Cr2PbCl crystal. The functional is GGA-PBE.

## Properties
ρ = 6.93 g/cm3
Space-group type = P4/mmm, No. 123
Uncorrected energy = -22.831 eV per cell
E_form (uncorrected) = 0.49 eV/atom
Excess energy over the best structure of this formula in the dataset = 9.849 kcal/mol of atoms

a = 3.2047 Å, b = 5.0927 Å, c = 5.0927 Å
α = 90.00°, β = 90.00°, γ = 90.00°
Fractional positions:
Cl  0.5000  0.0000  0.5000
Cr  0.0000  0.0000  0.0000
Cr  0.0000  0.5000  0.5000
Pb  0.5000  0.5000  0.0000

=====

(3)
This record from Alexandria via LeMat-Bulk describes a relaxed Th2WSe2Cl4 crystal. The functional is GGA-PBE.

## Properties
ρ = 6.18 g/cm3
Space-group type = P3m1, No. 156
Uncorrected energy = -53.624 eV per cell
E_form (uncorrected) = -1.28 eV/atom

a = 3.5350 Å, b = 3.5350 Å, c = 23.5265 Å
α = 90.00°, β = 90.00°, γ = 120.00°
Fractional positions:
Th  0.0000  0.0000  0.9845
Th  0.6667  0.3333  0.6491
Se  0.6667  0.3333  0.2570
Se  0.6667  0.3333  0.3939
Cl  0.6667  0.3333  0.0719
Cl  0.6667  0.3333  0.8972
Cl  0.0000  0.0000  0.7364
Cl  0.0000  0.0000  0.5618
W  0.0000  0.0000  0.3254

=====

(4)
This record from Alexandria via LeMat-Bulk describes a relaxed NaP2PdS crystal. The functional is GGA-PBE.

## Properties
ρ = 3.44 g/cm3
Space-group type = P4/mmm, No. 123
Uncorrected energy = -14.365 eV per cell
E_form (uncorrected) = 1.42 eV/atom
Excess energy over the best structure of this formula in the dataset = 25.428 kcal/mol of atoms

a = 4.7757 Å, b = 4.7757 Å, c = 4.7226 Å
α = 90.00°, β = 90.00°, γ = 90.00°
Fractional positions:
Na  0.0000  0.0000  0.0000
S  0.0000  0.0000  0.5000
Pd  0.5000  0.5000  0.5000
P  0.0000  0.5000  0.0000
P  0.5000  0.0000  0.0000

=====

(5)
This record from Alexandria via LeMat-Bulk describes a relaxed SrCu2P crystal. The functional is GGA-PBE.

## Properties
ρ = 5.04 g/cm3
Space-group type = Immm, No. 71
Uncorrected energy = -15.546 eV per cell

a = 4.9848 Å, b = 4.9848 Å, c = 4.9848 Å
α = 132.54°, β = 111.77°, γ = 87.31°
Fractional positions:
Cu  0.9206  0.9206  0.0000
Cu  0.5794  0.5794  0.0000
P  0.7500  0.2500  0.5000
Sr  0.2500  0.7500  0.5000

=====

(6)
This record from Alexandria via LeMat-Bulk describes a relaxed SmGdGePd crystal. The functional is GGA-PBE.

## Properties
ρ = 8.68 g/cm3
Space-group type = F-43m, No. 216
Uncorrected energy = -31.692 eV per cell

a = 5.0879 Å, b = 5.0879 Å, c = 5.0879 Å
α = 60.00°, β = 60.00°, γ = 60.00°
Fractional positions:
Pd  0.7500  0.7500  0.7500
Gd  0.5000  0.5000  0.5000
Ge  0.2500  0.2500  0.2500
Sm  0.0000  0.0000  0.0000